Computed, not measured: a relaxed Y2CrFeF crystal at the PBE with a Hubbard U level of DFT.

Values from the calculation:
The crystal system is tetragonal. For the calculated volume, the calculation gives 21.41 A^3/atom. The electronic total energy is -5.9785 eV per atom.

a b c (Å): 4.8193 4.8193 4.6083
angles (deg): 90.00 90.00 90.00
Last column: nearest neighbours and their distance in Å.
Space group P4/mmm (No. 123)
Unique sites:
1 Y 0.0000 0.5000 0.0000  2 F 2.41
2 Cr 0.0000 0.0000 0.5000  2 F 2.30
3 Fe 0.5000 0.5000 0.5000  8 Y 3.33, 4 Cr 3.41
4 F 0.0000 0.0000 0.0000  2 Cr 2.30, 4 Y 2.41